1.
DFT (GGA-PBE) results for TeOs2Pt after structural relaxation.

abc: 4.567 4.567 4.567
angles: 60.00 60.00 60.00
Fractional coordinates of all 4 atoms:
Pt 0.500 0.500 0.500
Os 0.750 0.750 0.750
Os 0.000 0.000 0.000
Te 0.250 0.250 0.250

Output
Crystal system: cubic
SG: F-43m (216)
DFT total energy in eV/atom: -7.029
Calculated volume in Å³/cell: 67
ΔE_f (raw) in kJ per mole of atoms: 85

2.
DFT (GGA-PBE) results for Li6Cd5In after structural relaxation.

abc: 8.062 4.766 7.550
angles: 71.60 79.20 53.57
Fractional coordinates of all 12 atoms:
Li 0.252 0.247 0.000
Li 0.748 0.753 0.000
Li 0.248 0.920 0.664
Li 0.248 0.584 0.336
Li 0.752 0.416 0.664
Li 0.752 0.080 0.336
Cd 0.000 0.336 0.329
Cd 0.000 0.664 0.671
Cd 0.500 0.832 0.335
Cd 0.500 0.168 0.665
Cd 0.500 0.500 0.000
In 0.000 0.000 0.000

Output
Crystal system: monoclinic
SG: C2/m (12)
DFT total energy in eV/atom: -1.823
Calculated volume in Å³/cell: 221

3.
DFT (GGA-PBE) results for Li4Sn2Hg after structural relaxation.

abc: 5.070 5.070 7.764
angles: 70.95 70.95 90.00
Fractional coordinates of all 7 atoms:
Li 0.500 0.000 0.000
Li 0.000 0.500 0.000
Li 0.806 0.806 0.389
Li 0.194 0.194 0.611
Sn 0.604 0.604 0.792
Sn 0.396 0.396 0.208
Hg 0.000 0.000 0.000

Output
Crystal system: tetragonal
SG: I4/mmm (139)
DFT total energy in eV/atom: -2.405
Calculated volume in Å³/cell: 177
Offset from the most stable computed form in eV/f.u.: 0.46

4.
DFT (GGA-PBE) results for Mn2TlIr after structural relaxation.

abc: 4.355 4.355 4.355
angles: 60.00 60.00 60.00
Fractional coordinates of all 4 atoms:
Ir 0.000 0.000 0.000
Mn 0.250 0.250 0.250
Mn 0.750 0.750 0.750
Tl 0.500 0.500 0.500

Output
Crystal system: cubic
SG: Fm-3m (225)
DFT total energy in eV/atom: -6.634
Calculated volume in Å³/cell: 58
Offset from the most stable computed form in eV/f.u.: 2.11

5.
DFT (GGA-PBE) results for Y4Tm7Pu after structural relaxation.

abc: 5.770 9.125 8.627
angles: 63.73 70.46 71.57
Each line ends with the local moment (μB).
Fractional coordinates of all 12 atoms:
Y 0.740 0.730 0.789  -0.01
Y 0.589 0.549 0.272  0.01
Y 0.411 0.451 0.728  0.01
Y 0.260 0.270 0.211  -0.01
Tm 0.708 0.118 0.467  0.07
Tm 0.167 0.664 0.003  0.22
Tm 0.833 0.336 0.997  0.22
Tm 0.292 0.882 0.533  0.07
Tm 0.500 0.000 0.000  0.37
Tm 0.060 0.279 0.601  0.16
Tm 0.940 0.721 0.399  0.16
Pu 0.000 0.000 0.000  5.80

Output
Crystal system: monoclinic
SG: C2/m (12)
DFT total energy in eV/atom: -5.699
Calculated volume in Å³/cell: 376

6.
DFT (GGA-PBE) results for Sr3CaMg8 after structural relaxation.

abc: 6.380 6.380 11.058
angles: 73.23 73.23 60.00
Fractional coordinates of all 12 atoms:
Mg 0.437 0.437 0.190
Mg 0.936 0.437 0.190
Mg 0.938 0.938 0.684
Mg 0.687 0.687 0.938
Mg 0.938 0.440 0.684
Mg 0.188 0.188 0.437
Mg 0.437 0.936 0.190
Mg 0.440 0.938 0.684
Sr 0.501 0.501 0.497
Sr 0.999 0.999 0.003
Sr 0.375 0.375 0.874
Ca 0.875 0.875 0.376

Output
Crystal system: trigonal
SG: R3m (160)
DFT total energy in eV/atom: -1.754
Calculated volume in Å³/cell: 368